## Cd3Hg5N2 (PBE)

Data for a geometry-optimized Cd3Hg5N2 structure.

a = 7.8568 Å, b = 21.2537 Å, c = 6.9934 Å
α = 90.00°, β = 122.11°, γ = 90.00°
Last column: nearest neighbours and their distance in Å.
Space group C2/c (No. 15)
Inequivalent atoms, fractional coordinates:
Cd (0.0000, 0.1029, 0.2500) x4  2 N 2.22
Cd (0.2125, 0.4886, 0.2804) x8  2 N 2.13-2.14
Hg (0.0000, 0.1142, 0.7500) x4  4 Hg 3.14-3.32, 4 Cd 3.23-3.50
Hg (0.0104, 0.3566, 0.9864) x8  1 N 2.43
Hg (0.1081, 0.2217, 0.1057) x8  4 Hg 2.97-3.30, 1 Cd 3.00
N (0.2032, 0.4441, 0.5490) x8  3 Cd 2.13-2.22

Computed properties:
The value obtained for the formation energy from raw total energies is 34.7 kJ per mole of atoms. For the calculated volume, the calculation gives 24.730 Å³/atom. As for the total magnetization: 0.00 μB per formula unit.